No. 1
Sm5Y3As8 PBE relaxed; mass density = 6.5 g/cm3; E_form = -148.3 kJ/mol of atoms; E_tot = -6.5484 eV per atom
1.0
7.255 0.000 4.156
2.437 6.834 4.156
0.028 0.020 8.362
Sm Y As
5 3 8
direct
0.500 0.000 0.000
0.500 0.500 0.000
0.000 0.000 0.000
0.000 0.500 0.000
0.500 0.500 0.500
0.500 0.000 0.500
0.000 0.000 0.500
0.000 0.500 0.500
0.250 0.250 0.747
0.250 0.753 0.747
0.753 0.250 0.747
0.752 0.752 0.745
0.750 0.750 0.253
0.750 0.247 0.253
0.247 0.750 0.253
0.248 0.248 0.255

No. 2
Sr4MoCl PBE relaxed; E_form (uncorrected) = 18.139 kcal/mol of atoms; mass density = 2.8 g/cm3; E_tot = -2.4476 eV per atom
1.0
0.000 5.228 5.228
5.228 0.000 5.228
5.228 5.228 0.000
Sr Mo Cl
4 1 1
direct
0.879 0.374 0.374
0.374 0.374 0.879
0.374 0.879 0.374
0.374 0.374 0.374
0.000 0.000 0.000
0.750 0.750 0.750

No. 3
LiTlCd3 PBE relaxed; ΔE to the lowest computed polymorph = 437 meV/atom; mass density = 5.1 g/cm3; E_form = 36.3 kJ/mol of atoms; E_tot = -1.0290 eV per atom
1.0
5.635 0.000 0.000
0.000 5.635 0.000
0.000 0.000 5.635
Tl Li Cd
1 1 3
direct
0.000 0.000 0.000
0.500 0.500 0.500
0.000 0.500 0.000
0.000 0.000 0.500
0.500 0.000 0.000